A plane-wave DFT calculation with PBE+U was carried out for crystalline K2InMoF at its relaxed geometry.

Output
magnetization = 4.57 μB/cell
calculated volume = 42.17 A^3/atom
total DFT energy (no corrections) = -0.1073 hartree per atom

Unit cell a=7.0911 b=4.1928 c=7.0911 alpha=90.00 beta=90.00 gamma=90.00
With the nearest neighbours (Å) after each atom.
Element x y z (fractional)
Mo 0.0000 0.0000 0.0000  2 F 2.10
F 0.0000 0.5000 0.0000  2 Mo 2.10
K 0.0000 0.0000 0.5000  2 Mo 3.55
K 0.5000 0.0000 0.0000  2 Mo 3.55
In 0.5000 0.5000 0.5000  8 K 4.12, 2 In 4.19